# 1
VASP calculation (PBE) on an optimized crystal structure of Ti3TePb.

Distance to the lowest polymorph of the same formula = 500 meV per atom
Energy relative to the elements, uncorrected = 54.4 kJ per mole of atoms

Geometry as CIF:
```
data_Ti3TePb
_symmetry_space_group_name_H-M 'P m -3 m'
_symmetry_Int_Tables_number 221
_symmetry_space_group_name_Hall '-P 4 2 3'
_cell_length_a 5.0530
_cell_length_b 5.0530
_cell_length_c 5.0530
_cell_angle_alpha 90.00
_cell_angle_beta 90.00
_cell_angle_gamma 90.00
loop_
_atom_site_label
_atom_site_fract_x
_atom_site_fract_y
_atom_site_fract_z
Ti1 0.0000 0.0000 0.5000
Te1 0.0000 0.0000 0.0000
Pb1 0.5000 0.5000 0.5000
```

=====

# 2
VASP calculation (PBE) on an optimized crystal structure of ZnMo3.

Distance to the lowest polymorph of the same formula = 105 meV per atom
Formation energy = 0.547 eV/f.u.

Geometry as CIF:
```
data_ZnMo3
_symmetry_space_group_name_H-M 'R -3 m'
_symmetry_Int_Tables_number 166
_symmetry_space_group_name_Hall '-R 3 2"'
_cell_length_a 8.9441
_cell_length_b 8.9441
_cell_length_c 2.6815
_cell_angle_alpha 90.00
_cell_angle_beta 90.00
_cell_angle_gamma 120.00
loop_
_atom_site_label
_atom_site_fract_x
_atom_site_fract_y
_atom_site_fract_z
Zn1 0.0000 0.0000 0.0000
Mo1 0.0000 0.5000 0.0000
```

=====

# 3
VASP calculation (PBE) on an optimized crystal structure of La5Hg2Rh2.

Formation energy = -5.192 eV/f.u.

Geometry as CIF:
```
data_La5Hg2Rh2
_symmetry_space_group_name_H-M 'C m c e'
_symmetry_Int_Tables_number 64
_symmetry_space_group_name_Hall '-C 2ac 2'
_cell_length_a 16.4410
_cell_length_b 7.7609
_cell_length_c 8.1741
_cell_angle_alpha 90.00
_cell_angle_beta 90.00
_cell_angle_gamma 90.00
loop_
_atom_site_label
_atom_site_fract_x
_atom_site_fract_y
_atom_site_fract_z
La1 0.0000 0.0000 0.0000
La2 0.1206 0.1681 0.3271
Hg1 0.2154 0.0000 0.0000
Rh1 0.0000 0.1361 0.6320
```

=====

# 4
VASP calculation (PBE) on an optimized crystal structure of PmMg2NpO6.

Energy relative to the elements, uncorrected = -281.3 kJ per mole of atoms

Geometry as CIF:
```
data_PmMg2NpO6
_symmetry_space_group_name_H-M 'R 3'
_symmetry_Int_Tables_number 146
_symmetry_space_group_name_Hall 'R 3'
_cell_length_a 5.5505
_cell_length_b 5.5505
_cell_length_c 14.6628
_cell_angle_alpha 90.00
_cell_angle_beta 90.00
_cell_angle_gamma 120.00
loop_
_atom_site_label
_atom_site_fract_x
_atom_site_fract_y
_atom_site_fract_z
Pm1 0.0000 0.0000 0.0000
Mg1 0.0000 0.0000 0.2743
Mg2 0.0000 0.0000 0.7849
Np1 0.0000 0.0000 0.4852
O1 0.0136 0.3159 0.8810
O2 0.0267 0.6231 0.0530
```

=====

# 5
VASP calculation (PBE) on an optimized crystal structure of AcCeMg17.

Formation energy = -0.899 eV/f.u.

Geometry as CIF:
```
data_AcCeMg17
_symmetry_space_group_name_H-M 'R 3 m'
_symmetry_Int_Tables_number 160
_symmetry_space_group_name_Hall 'R 3 -2"'
_cell_length_a 10.3654
_cell_length_b 10.3654
_cell_length_c 15.2903
_cell_angle_alpha 90.00
_cell_angle_beta 90.00
_cell_angle_gamma 120.00
loop_
_atom_site_label
_atom_site_fract_x
_atom_site_fract_y
_atom_site_fract_z
Ac1 0.0000 0.0000 0.0000
Ce1 0.0000 0.0000 0.6665
Mg1 0.0000 0.0000 0.2378
Mg2 0.0000 0.0000 0.4355
Mg3 0.0024 0.2993 0.3345
Mg4 0.0020 0.5010 0.8339
Mg5 0.0107 0.5053 0.4868
Mg6 0.1673 0.3347 0.5161
```

=====

# 6
VASP calculation (PBE) on an optimized crystal structure of Pr2TcN4.

Distance to the lowest polymorph of the same formula = 0 meV per atom
Energy relative to the elements, uncorrected = -72.2 kJ per mole of atoms

Geometry as CIF:
```
data_Pr2TcN4
_symmetry_space_group_name_H-M 'P 1 21/m 1'
_symmetry_Int_Tables_number 11
_cell_length_a 5.9986
_cell_length_b 5.8319
_cell_length_c 6.8970
_cell_angle_alpha 90.00
_cell_angle_beta 108.25
_cell_angle_gamma 90.00
loop_
_symmetry_equiv_pos_as_xyz
'x,y,z'
'-x,-y,-z'
'-x,y+1/2,-z'
'x,-y+1/2,z'
loop_
_atom_site_label
_atom_site_fract_x
_atom_site_fract_y
_atom_site_fract_z
Pr1 0.1920 0.2500 0.0420
Pr2 0.2609 0.2500 0.5631
Tc1 0.2659 0.7500 0.8081
N1 0.0427 0.5112 0.7506
N2 0.4353 0.7500 0.0774
N3 0.4491 0.7500 0.6393
```